Record 1
The following is a DFT calculation (PBE) of a relaxed structure of CdRhIO2.

The formation energy (no corrections) comes out at 0.51 eV per atom. For the volume, the calculation gives 22.4 A^3/atom. Its excess energy over the best structure of this formula in the dataset is 0.579 eV/atom.

The space group is P4/mmm (No. 123) and the conventional cell measures 4.078, 4.078 and 6.741 Å, with angles of 90.00, 90.00 and 90.00 degrees. The distinct sites, in fractional coordinates, are Cd at (0.000, 0.000, 0.000), Rh at (0.500, 0.500, 0.500), I at (0.000, 0.000, 0.500) and O at (0.000, 0.500, 0.000).

***

Record 2
The following is a DFT calculation (PBE) of a relaxed structure of CdRhIO2.

The formation energy (no corrections) comes out at -0.07 eV per atom. For the volume, the calculation gives 19.0 A^3/atom. Its excess energy over the best structure of this formula in the dataset is 0.000 eV/atom.

The space group is P4/mmm (No. 123) and the conventional cell measures 3.999, 3.999 and 5.949 Å, with angles of 90.00, 90.00 and 90.00 degrees. The distinct sites, in fractional coordinates, are Cd at (0.000, 0.000, 0.000), Rh at (0.500, 0.500, 0.500), I at (0.500, 0.500, 0.000) and O at (0.000, 0.500, 0.500).

***

Record 3
The following is a DFT calculation (PBE) of a relaxed structure of CdRuI2O.

The formation energy (no corrections) comes out at 0.72 eV per atom. For the volume, the calculation gives 28.4 A^3/atom. Its excess energy over the best structure of this formula in the dataset is 0.897 eV/atom.

The space group is P4/mmm (No. 123) and the conventional cell measures 5.926, 5.926 and 4.043 Å, with angles of 90.00, 90.00 and 90.00 degrees. The distinct sites, in fractional coordinates, are Cd at (0.000, 0.000, 0.000), Ru at (0.500, 0.500, 0.500), I at (0.000, 0.500, 0.000) and O at (0.000, 0.000, 0.500).

***

Record 4
The following is a DFT calculation (PBE) of a relaxed structure of CdRuI2O.

The formation energy (no corrections) comes out at -0.18 eV per atom. For the volume, the calculation gives 24.0 A^3/atom. Its excess energy over the best structure of this formula in the dataset is 0.000 eV/atom.

The space group is P4/mmm (No. 123) and the conventional cell measures 5.643, 5.643 and 3.773 Å, with angles of 90.00, 90.00 and 90.00 degrees. The distinct sites, in fractional coordinates, are Cd at (0.000, 0.000, 0.000), Ru at (0.500, 0.500, 0.500), I at (0.000, 0.500, 0.500) and O at (0.500, 0.500, 0.000).

***

Record 5
The following is a DFT calculation (PBE) of a relaxed structure of CdSIO4.

The formation energy (no corrections) comes out at -1.03 eV per atom. For the volume, the calculation gives 18.6 A^3/atom.

The space group is C2/m (No. 12) and the conventional cell measures 11.917, 7.379 and 6.055 Å, with angles of 90.00, 102.03 and 90.00 degrees. The distinct sites, in fractional coordinates, are Cd at (0.171, 0.000, 0.310), S at (0.148, 0.000, 0.765), I at (0.010, 0.500, 0.253), O at (0.027, 0.000, 0.784), O at (0.176, 0.163, 0.637) and O at (0.224, 0.000, 0.996).

***

Record 6
The following is a DFT calculation (PBE) of a relaxed structure of CdSIO2.

The formation energy (no corrections) comes out at 0.27 eV per atom. For the volume, the calculation gives 17.6 A^3/atom.

The space group is P4/mmm (No. 123) and the conventional cell measures 3.992, 3.992 and 5.519 Å, with angles of 90.00, 90.00 and 90.00 degrees. The distinct sites, in fractional coordinates, are Cd at (0.000, 0.000, 0.000), S at (0.500, 0.500, 0.500), I at (0.500, 0.500, 0.000) and O at (0.000, 0.500, 0.500).

***

Record 7
The following is a DFT calculation (PBE) of a relaxed structure of CdSIO2.

The formation energy (no corrections) comes out at 0.43 eV per atom. For the volume, the calculation gives 26.8 A^3/atom.

The space group is P4/mmm (No. 123) and the conventional cell measures 4.078, 4.078 and 8.064 Å, with angles of 90.00, 90.00 and 90.00 degrees. The distinct sites, in fractional coordinates, are Cd at (0.000, 0.000, 0.000), S at (0.500, 0.500, 0.500), I at (0.000, 0.000, 0.500) and O at (0.000, 0.500, 0.000).

***

Record 8
The following is a DFT calculation (PBE) of a relaxed structure of ScCdI2O.

The formation energy (no corrections) comes out at -1.21 eV per atom. For the volume, the calculation gives 28.2 A^3/atom. Its excess energy over the best structure of this formula in the dataset is 0.000 eV/atom.

The space group is P4/mmm (No. 123) and the conventional cell measures 6.004, 6.004 and 3.906 Å, with angles of 90.00, 90.00 and 90.00 degrees. The distinct sites, in fractional coordinates, are Sc at (0.000, 0.000, 0.000), Cd at (0.500, 0.500, 0.500), I at (0.000, 0.500, 0.000) and O at (0.000, 0.000, 0.500).

***

Record 9
The following is a DFT calculation (PBE) of a relaxed structure of ScCd2IO6.

The formation energy (no corrections) comes out at -1.36 eV per atom. For the volume, the calculation gives 13.4 A^3/atom.

The space group is R3 (No. 146, hexagonal axes) and the conventional cell measures 5.6357, 5.6357 and 14.6534 Å, with angles of 90.00, 90.00 and 120.00 degrees. The distinct sites, in fractional coordinates, are Sc at (0.0000, 0.0000, 0.0000), Cd at (0.0000, 0.0000, 0.2268), Cd at (0.0000, 0.0000, 0.7251), I at (0.0000, 0.0000, 0.5028), O at (0.0087, 0.3933, 0.7648) and O at (0.0135, 0.6209, 0.2641).

***

Record 10
The following is a DFT calculation (PBE) of a relaxed structure of ScCdI2O.

The formation energy (no corrections) comes out at -0.25 eV per atom. For the volume, the calculation gives 28.5 A^3/atom. Its excess energy over the best structure of this formula in the dataset is 0.959 eV/atom.

The space group is P4/mmm (No. 123) and the conventional cell measures 5.944, 5.944 and 4.035 Å, with angles of 90.00, 90.00 and 90.00 degrees. The distinct sites, in fractional coordinates, are Sc at (0.000, 0.000, 0.000), Cd at (0.500, 0.500, 0.500), I at (0.000, 0.500, 0.500) and O at (0.500, 0.500, 0.000).

***

Record 11
The following is a DFT calculation (PBE) of a relaxed structure of CdSeIO2.

The formation energy (no corrections) comes out at 0.33 eV per atom. For the volume, the calculation gives 27.2 A^3/atom. Its excess energy over the best structure of this formula in the dataset is 0.327 eV/atom.

The space group is P4/mmm (No. 123) and the conventional cell measures 4.148, 4.148 and 7.895 Å, with angles of 90.00, 90.00 and 90.00 degrees. The distinct sites, in fractional coordinates, are Cd at (0.000, 0.000, 0.000), Se at (0.500, 0.500, 0.500), I at (0.000, 0.000, 0.500) and O at (0.000, 0.500, 0.000).

***

Record 12
The following is a DFT calculation (PBE) of a relaxed structure of CdSeIO2.

The formation energy (no corrections) comes out at 0.00 eV per atom. For the volume, the calculation gives 23.7 A^3/atom. Its excess energy over the best structure of this formula in the dataset is 0.000 eV/atom.

The space group is P4/mmm (No. 123) and the conventional cell measures 4.010, 4.010 and 7.375 Å, with angles of 90.00, 90.00 and 90.00 degrees. The distinct sites, in fractional coordinates, are Cd at (0.000, 0.000, 0.000), Se at (0.500, 0.500, 0.500), I at (0.500, 0.500, 0.000) and O at (0.000, 0.500, 0.500).

***

Record 13
The following is a DFT calculation (PBE) of a relaxed structure of CdSeI2O.

The formation energy (no corrections) comes out at 0.00 eV per atom. For the volume, the calculation gives 27.4 A^3/atom. Its excess energy over the best structure of this formula in the dataset is 0.000 eV/atom.

The space group is P4/mmm (No. 123) and the conventional cell measures 5.966, 5.966 and 3.852 Å, with angles of 90.00, 90.00 and 90.00 degrees. The distinct sites, in fractional coordinates, are Cd at (0.000, 0.000, 0.000), Se at (0.500, 0.500, 0.500), I at (0.000, 0.500, 0.500) and O at (0.500, 0.500, 0.000).

***

Record 14
The following is a DFT calculation (PBE) of a relaxed structure of CdSeIO4.

The formation energy (no corrections) comes out at -0.60 eV per atom. For the volume, the calculation gives 18.3 A^3/atom.

The space group is C2/m (No. 12) and the conventional cell measures 12.545, 6.413 and 6.548 Å, with angles of 90.00, 103.33 and 90.00 degrees. The distinct sites, in fractional coordinates, are Cd at (0.189, 0.000, 0.317), Se at (0.141, 0.000, 0.758), I at (0.043, 0.500, 0.207), O at (0.011, 0.000, 0.767), O at (0.174, 0.204, 0.617) and O at (0.222, 0.000, 0.001).

***

Record 15
The following is a DFT calculation (PBE) of a relaxed structure of CdSeI2O.

The formation energy (no corrections) comes out at 0.34 eV per atom. For the volume, the calculation gives 28.4 A^3/atom. Its excess energy over the best structure of this formula in the dataset is 0.334 eV/atom.

The space group is P4/mmm (No. 123) and the conventional cell measures 5.929, 5.929 and 4.033 Å, with angles of 90.00, 90.00 and 90.00 degrees. The distinct sites, in fractional coordinates, are Cd at (0.000, 0.000, 0.000), Se at (0.500, 0.500, 0.500), I at (0.000, 0.500, 0.000) and O at (0.000, 0.000, 0.500).

***

Record 16
The following is a DFT calculation (PBE) of a relaxed structure of CdSiI2O.

The formation energy (no corrections) comes out at 0.33 eV per atom. For the volume, the calculation gives 28.4 A^3/atom. Its excess energy over the best structure of this formula in the dataset is 0.721 eV/atom.

The space group is P4/mmm (No. 123) and the conventional cell measures 5.930, 5.930 and 4.039 Å, with angles of 90.00, 90.00 and 90.00 degrees. The distinct sites, in fractional coordinates, are Cd at (0.000, 0.000, 0.000), Si at (0.500, 0.500, 0.500), I at (0.000, 0.500, 0.000) and O at (0.000, 0.000, 0.500).

***

Record 17
The following is a DFT calculation (PBE) of a relaxed structure of CdSiIO6.

The formation energy (no corrections) comes out at -1.16 eV per atom. For the volume, the calculation gives 12.3 A^3/atom.

The space group is P-31c (No. 163) and the conventional cell measures 5.0836, 5.0836 and 9.8723 Å, with angles of 90.00, 90.00 and 120.00 degrees. The distinct sites, in fractional coordinates, are Cd at (0.0000, 0.0000, 0.0000), Si at (0.3333, 0.6667, 0.2500), I at (0.3333, 0.6667, 0.7500) and O at (0.0301, 0.3894, 0.1435).

***

Record 18
The following is a DFT calculation (PBE) of a relaxed structure of CdSiI2O.

The formation energy (no corrections) comes out at -0.39 eV per atom. For the volume, the calculation gives 24.0 A^3/atom. Its excess energy over the best structure of this formula in the dataset is 0.000 eV/atom.

The space group is P4/mmm (No. 123) and the conventional cell measures 5.788, 5.788 and 3.583 Å, with angles of 90.00, 90.00 and 90.00 degrees. The distinct sites, in fractional coordinates, are Cd at (0.000, 0.000, 0.000), Si at (0.500, 0.500, 0.500), I at (0.000, 0.500, 0.500) and O at (0.500, 0.500, 0.000).

***

Record 19
The following is a DFT calculation (PBE) of a relaxed structure of CdSiIO2.

The formation energy (no corrections) comes out at -0.52 eV per atom. For the volume, the calculation gives 16.8 A^3/atom. Its excess energy over the best structure of this formula in the dataset is 0.000 eV/atom.

The space group is P4/mmm (No. 123) and the conventional cell measures 3.829, 3.829 and 5.728 Å, with angles of 90.00, 90.00 and 90.00 degrees. The distinct sites, in fractional coordinates, are Cd at (0.000, 0.000, 0.000), Si at (0.500, 0.500, 0.500), I at (0.500, 0.500, 0.000) and O at (0.000, 0.500, 0.500).

***

Record 20
The following is a DFT calculation (PBE) of a relaxed structure of CdSiIO2.

The formation energy (no corrections) comes out at 0.43 eV per atom. For the volume, the calculation gives 21.8 A^3/atom. Its excess energy over the best structure of this formula in the dataset is 0.954 eV/atom.

The space group is P4/mmm (No. 123) and the conventional cell measures 4.229, 4.229 and 6.100 Å, with angles of 90.00, 90.00 and 90.00 degrees. The distinct sites, in fractional coordinates, are Cd at (0.000, 0.000, 0.000), Si at (0.500, 0.500, 0.500), I at (0.000, 0.000, 0.500) and O at (0.000, 0.500, 0.000).

***

no.,ρ (g/cm3)
1,5.54
2,6.53
3,5.65
4,6.68
5,4.28
6,5.73
7,3.76
8,5.04
9,6.09
10,4.98
11,4.28
12,4.90
13,5.59
14,4.95
15,5.40
16,4.80
17,5.46
18,5.67
19,5.92
20,4.56